The following is a PBE-GGA calculation of crystalline NdZrIn2 at its relaxed geometry, from Alexandria.

Cell: 3.8465 3.8465 6.9155 Å, 90.00 90.00 90.00°
Positions (direct):
Nd (0.0000, 0.0000, 0.0000)
Zr (0.0000, 0.0000, 0.5000)
In (0.5000, 0.5000, 0.2784)
In (0.5000, 0.5000, 0.7216)

Computed properties:
The total energy comes out at -5.007 eV/atom. The mass density is 7.5 Mg/m³. The space group is P4/mmm (123). The formation energy comes out at -119 kJ/mol of formula units. The density of states at the Fermi level comes out at 0.94 states/eV per atom.